Cs3RbGe | the Alexandria database | PBE | relaxed; density of states at the Fermi level = 0.74 states/eV per atom; density = 2.20 g/cm3; crystal system = cubic; polymorph energy (0 for the lowest one) = 0.0 meV per atom
1.0
-6.9997 -2.4530 1.0545
2.5232 -7.0447 0.3614
0.8733 0.6929 7.4082
Cs Rb Ge
3 1 1
Cartesian
1.2616 -3.5223 0.1807
0.4366 0.3464 3.7041
-3.4998 -1.2265 0.5273
-1.8016 -4.4024 4.4121
0.0000 0.0000 0.0000